A geometry-optimized SmTlCdRh structure, computed with PBE-GGA.

The space group is F-43m (No. 216) and the conventional cell measures 7.098, 7.098 and 7.098 Å, with angles of 90.00, 90.00 and 90.00 degrees. The distinct sites, in fractional coordinates, are Sm at (0.000, 0.000, 0.000), Tl at (0.250, 0.250, 0.750), Cd at (0.000, 0.000, 0.500) and Rh at (0.250, 0.250, 0.250).

The value obtained for the energy relative to the elements is -0.23 eV per atom.

A geometry-optimized SmTmCdRh structure, computed with PBE-GGA.

The space group is F-43m (No. 216) and the conventional cell measures 7.177, 7.177 and 7.177 Å, with angles of 90.00, 90.00 and 90.00 degrees. The distinct sites, in fractional coordinates, are Sm at (0.000, 0.000, 0.000), Tm at (0.000, 0.000, 0.500), Cd at (0.250, 0.250, 0.750) and Rh at (0.250, 0.250, 0.250).

The value obtained for the energy relative to the elements is -0.51 eV per atom.

A geometry-optimized CdSn2Rh4 structure, computed with PBE-GGA.

The space group is R-3m (No. 166, hexagonal axes) and the conventional cell measures 4.4311, 4.4311 and 21.9647 Å, with angles of 90.00, 90.00 and 120.00 degrees. The distinct sites, in fractional coordinates, are Cd at (0.0000, 0.0000, 0.0000), Sn at (0.0000, 0.0000, 0.2451), Rh at (0.0000, 0.0000, 0.1257) and Rh at (0.0000, 0.0000, 0.3771).

The value obtained for the energy relative to the elements is -0.27 eV per atom.

A geometry-optimized CdSnRh structure, computed with PBE-GGA.

The space group is P4mm (No. 99) and the conventional cell measures 3.162, 3.162 and 6.279 Å, with angles of 90.00, 90.00 and 90.00 degrees. The distinct sites, in fractional coordinates, are Cd at (0.000, 0.000, 0.000), Sn at (0.000, 0.000, 0.459) and Rh at (0.500, 0.500, 0.708).

The value obtained for the energy relative to the elements is -0.26 eV per atom.

> Which value of energy relative to the elements does entry 4 give?

-0.26 eV per atom

Please write out number 3 again, unchanged.
A geometry-optimized CdSn2Rh4 structure, computed with PBE-GGA.

The space group is R-3m (No. 166, hexagonal axes) and the conventional cell measures 4.4311, 4.4311 and 21.9647 Å, with angles of 90.00, 90.00 and 120.00 degrees. The distinct sites, in fractional coordinates, are Cd at (0.0000, 0.0000, 0.0000), Sn at (0.0000, 0.0000, 0.2451), Rh at (0.0000, 0.0000, 0.1257) and Rh at (0.0000, 0.0000, 0.3771).

The value obtained for the energy relative to the elements is -0.27 eV per atom.

> Number 3 is which compound?

CdSn2Rh4